# 1
VASP calculation (GGA-PBE) on a relaxed structure of LiPu2GaAu6.

```
10
Lattice="6.092 -2.784 0.000 6.092 2.784 0.000 -4.825 0.000 6.164" Properties=species:S:1:pos:R:3 pbc="T T T"
Li 0.000 0.000 0.000
Pu 2.453 0.000 4.495
Pu 4.907 0.000 1.669
Ga -2.412 0.000 3.082
Au -0.828 1.385 5.094
Au 0.049 0.000 2.522
Au 8.189 1.385 1.070
Au -0.828 -1.385 5.094
Au 7.311 0.000 3.642
Au 8.189 -1.385 1.070
```

Output
N(E_F)   27.6 states/eV/f.u.
ΔH_f (0 K)   -293 meV per atom
SG   C2/m, No. 12

---

# 2
VASP calculation (GGA-PBE) on a relaxed structure of PuZnPd14.

```
16
Lattice="5.698 0.000 0.000 0.000 5.698 0.000 0.000 0.000 7.824" Properties=species:S:1:pos:R:3 pbc="T T T"
Pu 0.000 0.000 0.000
Zn 2.849 2.849 0.000
Pd 0.000 0.000 3.912
Pd 0.000 2.849 0.000
Pd 0.000 2.849 3.912
Pd 1.442 1.442 1.958
Pd 1.442 1.442 5.866
Pd 1.442 4.256 1.958
Pd 1.442 4.256 5.866
Pd 2.849 0.000 0.000
Pd 2.849 0.000 3.912
Pd 2.849 2.849 3.912
Pd 4.256 1.442 1.958
Pd 4.256 1.442 5.866
Pd 4.256 4.256 1.958
Pd 4.256 4.256 5.866
```

Output
N(E_F)   32.2 states/eV/f.u.
ΔH_f (0 K)   -215 meV per atom
SG   P4/mmm, No. 123

---

# 3
VASP calculation (GGA-PBE) on a relaxed structure of Zn2InMo.

```
4
Lattice="4.389 0.000 0.000 0.000 1.414 5.409 0.000 -1.414 5.409" Properties=species:S:1:pos:R:3 pbc="T T T"
Zn 0.000 0.000 0.000
Zn 2.194 0.000 1.363
In 0.000 0.000 8.174
Mo 2.194 0.000 4.295
```

Output
N(E_F)   3.2 states/eV/f.u.
ΔH_f (0 K)   252 meV per atom
SG   Amm2, No. 38

---

# 4
VASP calculation (GGA-PBE) on a relaxed structure of DyB2Rh4.

```
7
Lattice="-2.102 2.744 4.254 2.102 -2.744 4.254 2.102 2.744 -4.254" Properties=species:S:1:pos:R:3 pbc="T T T"
Dy 0.000 0.000 0.000
B 0.892 2.744 0.000
B 1.210 0.000 4.254
Rh 2.102 1.413 -1.356
Rh 2.102 1.413 1.356
Rh 0.000 1.331 2.898
Rh 0.000 1.331 5.610
```

Output
N(E_F)   5.3 states/eV/f.u.
ΔH_f (0 K)   -185 meV per atom
SG   Immm, No. 71

---

# 5
VASP calculation (GGA-PBE) on a relaxed structure of Mg2SiNi.

```
4
Lattice="1.497 0.865 8.627 -1.497 0.865 8.627 0.000 -1.729 8.627" Properties=species:S:1:pos:R:3 pbc="T T T"
Mg 0.000 0.000 0.000
Mg 0.000 0.000 5.932
Si 0.000 0.000 19.568
Ni 0.000 0.000 12.457
```

Output
N(E_F)   0.6 states/eV/f.u.
SG   R3m, No. 160
E   -3.667 eV/atom

---

# 6
VASP calculation (GGA-PBE) on a relaxed structure of SrCa5Mg4.

```
10
Lattice="3.999 0.000 0.000 0.000 3.999 0.000 0.000 0.000 21.592" Properties=species:S:1:pos:R:3 pbc="T T T"
Sr 0.000 0.000 0.000
Ca 2.000 2.000 2.974
Ca 2.000 2.000 6.892
Ca 2.000 2.000 10.796
Ca 2.000 2.000 14.700
Ca 2.000 2.000 18.619
Mg 0.000 0.000 4.930
Mg 0.000 0.000 8.848
Mg 0.000 0.000 12.745
Mg 0.000 0.000 16.663
```

Output
N(E_F)   11.0 states/eV/f.u.
ΔH_f (0 K)   -58 meV per atom
SG   P4/mmm, No. 123

---

# 7
VASP calculation (GGA-PBE) on a relaxed structure of La2Ce3SmSe6.

```
12
Lattice="3.661 -6.346 0.000 3.661 6.346 0.000 -2.447 0.000 6.948" Properties=species:S:1:pos:R:3 pbc="T T T"
La 3.661 4.237 0.000
La 3.661 -4.237 0.000
Ce -1.224 0.000 3.474
Ce 2.437 2.141 3.474
Ce 2.437 -2.141 3.474
Sm 3.661 0.000 0.000
Se 0.016 2.082 5.194
Se 1.261 0.000 1.772
Se 0.016 -2.082 5.194
Se 4.858 2.082 1.754
Se 3.614 0.000 5.175
Se 4.858 -2.082 1.754
```

Output
N(E_F)   20.3 states/eV/f.u.
SG   C2/m, No. 12
E   -6.320 eV/atom

---

# 8
VASP calculation (GGA-PBE) on a relaxed structure of YH6Rh2Pb.

```
20
Lattice="3.898 -4.782 0.000 3.898 4.782 0.000 -1.689 0.000 5.920" Properties=species:S:1:pos:R:3 pbc="T T T"
Y 2.632 3.729 4.440
Y 3.476 -3.729 1.480
H 2.689 3.818 2.205
H 1.078 2.243 5.178
H 4.263 3.818 0.755
H 0.597 0.007 5.508
H 1.442 -0.007 2.548
H 4.185 2.243 3.702
H 1.923 -2.243 2.218
H 4.666 0.007 3.372
H 5.510 -0.007 0.412
H 1.844 -3.818 5.165
H 5.029 -2.243 0.742
H 3.419 -3.818 3.715
Rh 1.165 1.062 4.005
Rh 2.009 -1.062 1.045
Rh 4.098 1.062 4.875
Rh 4.943 -1.062 1.915
Pb 3.476 1.415 1.480
Pb 2.632 -1.415 4.440
```

Output
N(E_F)   3.9 states/eV/f.u.
SG   C2/c, No. 15
E   -4.676 eV/atom

---

> What is the N(E_F) in the sixth record?

11.0 states/eV/f.u.